(1)
Crystalline InCo at its relaxed geometry, computed with PBE.

Cell lengths 3.042, 3.042, 12.179 Å; angles 90.00, 90.00, 120.00 degrees
Sites, in units of the cell vectors:
In (0.000, 0.000, 0.000)
In (0.333, 0.667, 0.667)
In (0.667, 0.333, 0.333)
Co (0.000, 0.000, 0.500)
Co (0.333, 0.667, 0.167)
Co (0.667, 0.333, 0.833)

## Properties
DFT formation energy   351 meV per atom
Calculated volume   97.6 Å³/cell

(2)
Crystalline InCo2 at its relaxed geometry, computed with PBE.

Cell lengths 3.054, 13.006, 4.276 Å; angles 90.00, 90.00, 90.00 degrees
Sites, in units of the cell vectors:
In (0.000, 0.084, 0.250)
In (0.000, 0.916, 0.750)
In (0.500, 0.416, 0.750)
In (0.500, 0.584, 0.250)
Co (0.000, 0.247, 0.750)
Co (0.000, 0.399, 0.250)
Co (0.000, 0.601, 0.750)
Co (0.000, 0.753, 0.250)
Co (0.500, 0.101, 0.750)
Co (0.500, 0.253, 0.250)
Co (0.500, 0.747, 0.750)
Co (0.500, 0.899, 0.250)

## Properties
DFT formation energy   210 meV per atom
Calculated volume   169.8 Å³/cell